Entry 1:
VASP calculation (PBE-GGA) on crystalline Rb2LaHgCl6 at its relaxed geometry.

Cell lengths 8.066, 8.066, 8.066 Å; angles 119.94, 119.94, 90.10 degrees
Atoms (fractional coordinates):
Rb 0.250 0.750 0.500
Rb 0.750 0.250 0.500
La 0.000 0.000 0.000
Hg 0.500 0.500 0.000
Cl 0.242 0.242 0.484
Cl 0.242 0.758 0.000
Cl 0.243 0.243 0.000
Cl 0.757 0.757 0.000
Cl 0.758 0.242 0.000
Cl 0.758 0.758 0.516

Computed properties:
**Formation energy from raw total energies**: -1.73 eV/atom
**Magnetic moment**: 0.00 μB/f.u.

=====

Entry 2:
VASP calculation (PBE-GGA) on crystalline K2B2AsO6 at its relaxed geometry.

Cell lengths 5.156, 5.156, 6.699 Å; angles 112.57, 112.57, 59.99 degrees
Atoms (fractional coordinates):
K 0.207 0.207 0.121
K 0.793 0.793 0.879
B 0.397 0.397 0.689
B 0.603 0.603 0.311
As 0.000 0.000 0.500
O 0.246 0.246 0.705
O 0.247 0.714 0.706
O 0.286 0.753 0.294
O 0.714 0.247 0.706
O 0.753 0.286 0.294
O 0.754 0.754 0.295

Computed properties:
**Formation energy from raw total energies**: -1.84 eV/atom
**Magnetic moment**: 0.00 μB/f.u.

=====

Entry 3:
VASP calculation (PBE-GGA) on crystalline Pd3IF at its relaxed geometry.

Cell lengths 5.034, 5.034, 5.034 Å; angles 90.00, 90.00, 90.00 degrees
Atoms (fractional coordinates):
Pd 0.000 0.000 0.500
Pd 0.000 0.500 0.000
Pd 0.500 0.000 0.000
I 0.000 0.000 0.000
F 0.500 0.500 0.500

Computed properties:
**Offset from the most stable computed form**: 1.15 eV per formula unit
**Formation energy from raw total energies**: 0.46 eV/atom
**Magnetic moment**: 0.00 μB/f.u.

=====

Entry 4:
VASP calculation (PBE-GGA) on crystalline Tb5Nd2Dy2 at its relaxed geometry.

Cell lengths 10.112, 10.112, 10.112 Å; angles 84.77, 108.32, 140.96 degrees
Atoms (fractional coordinates):
Tb 0.042 0.048 0.494
Tb 0.087 0.465 0.908
Tb 0.087 0.679 0.122
Tb 0.248 0.052 0.300
Tb 0.248 0.448 0.695
Tb 0.554 0.548 0.506
Tb 0.557 0.179 0.092
Tb 0.557 0.965 0.878
Tb 0.752 0.552 0.305
Tb 0.752 0.948 0.700
Nd 0.648 0.021 0.373
Nd 0.648 0.275 0.627
Nd 0.648 0.521 0.873
Nd 0.648 0.775 0.127
Dy 0.092 0.352 0.240
Dy 0.112 0.852 0.760
Dy 0.187 0.187 0.000
Dy 0.187 0.687 0.500

Computed properties:
**Formation energy**: 0.21 eV/atom
**Offset from the most stable computed form**: 0.00 eV per formula unit
**Magnetic moment**: 0.00 μB/f.u.